Below is crystalline CrPtAu2 at its relaxed geometry, with properties calculated at the PBE level. Values from VASP.

Results
- total magnetization (μB/atom) = 0.944
- crystal system = tetragonal
- final energy (eV for the cell shown) = -22.19

Cell and atoms, written as Quantum ESPRESSO input:
```
&SYSTEM
  ibrav = 0, nat = 4, ntyp = 3
/
ATOMIC_SPECIES
Cr 52.00 Cr.upf
Pt 195.08 Pt.upf
Au 196.97 Au.upf
CELL_PARAMETERS angstrom
-1.993 1.993 4.170
1.993 -1.993 4.170
1.993 1.993 -4.170
ATOMIC_POSITIONS angstrom
Cr 0.000 0.000 0.000
Pt 0.000 0.000 4.170
Au 1.993 0.000 2.085
Au 0.000 1.993 2.085
```